Material: KLiBe2
Method: DFT, PBEsol
State: optimized geometry

a = 3.8748 Å, b = 3.8748 Å, c = 5.0645 Å
α = 90.00°, β = 90.00°, γ = 90.00°
Closest atoms and distances in Å follow each position.
Space group P4/mmm (No. 123)
Unique sites:
K: 0.0000 0.0000 0.0000 [1 per cell]  4 Li 2.74
Li: 0.5000 0.5000 0.0000 [1 per cell]  4 K 2.74
Be: 0.0000 0.5000 0.5000 [2 per cell]  4 Be 2.74

Summary:
* energy relative to the lowest polymorph listed for this composition: 125 meV per atom
* crystal system: tetragonal
* energy: -6.8 eV/f.u.
* energy of formation from the pure elements: 1.08 eV/atom


Material: HoSi2Au2
Method: DFT, PBEsol
State: optimized geometry

a = 4.1985 Å, b = 4.1985 Å, c = 10.1160 Å
α = 90.00°, β = 90.00°, γ = 90.00°
Closest atoms and distances in Å follow each position.
Space group I4/mmm (No. 139)
Unique sites:
Ho: 0.0000 0.0000 0.0000 [2 per cell]  8 Si 3.18, 8 Au 3.29
Si: 0.0000 0.0000 0.3875 [4 per cell]  1 Si 2.28, 4 Au 2.52
Au: 0.0000 0.5000 0.2500 [4 per cell]  4 Si 2.52

Summary:
* energy relative to the elements, uncorrected: -0.62 eV/atom
* crystal system: tetragonal
* energy: -27.4 eV/f.u.


Material: CuAs2Pt
Method: DFT, PBEsol
State: optimized geometry

a = 2.7998 Å, b = 3.5509 Å, c = 6.6774 Å
α = 90.00°, β = 90.00°, γ = 90.00°
Closest atoms and distances in Å follow each position.
Space group Pmm2 (No. 25)
Unique sites:
Cu: 0.0000 0.0000 0.0000 [1 per cell]  4 As 2.55, 4 Pt 2.72, 2 Cu 2.80
As: 0.0000 0.0000 0.4274 [1 per cell]  4 Pt 2.63, 2 As 2.80, 1 Cu 2.85
As: 0.5000 0.5000 0.8245 [1 per cell]  4 Cu 2.55, 1 Pt 2.68, 2 As 2.80
Pt: 0.5000 0.5000 0.2260 [1 per cell]  5 As 2.63-2.68, 4 Cu 2.72, 2 Pt 2.80

Summary:
* energy relative to the lowest polymorph listed for this composition: 42 meV per atom
* crystal system: orthorhombic
* energy: -21.6 eV/f.u.
* energy of formation from the pure elements: -0.02 eV/atom


Material: HfBe3Ni
Method: DFT, PBEsol
State: optimized geometry

a = 4.4927 Å, b = 4.4927 Å, c = 4.4927 Å
α = 90.00°, β = 90.00°, γ = 90.00°
Closest atoms and distances in Å follow each position.
Space group Pm-3m (No. 221)
Unique sites:
Hf: 0.0000 0.0000 0.0000 [1 per cell]  6 Be 2.25
Be: 0.0000 0.0000 0.5000 [3 per cell]  2 Hf 2.25
Ni: 0.5000 0.5000 0.5000 [1 per cell]  12 Be 3.18

Summary:
* energy relative to the lowest polymorph listed for this composition: 2212 meV per atom
* crystal system: cubic
* energy: -17.6 eV/f.u.
* energy of formation from the pure elements: 2.20 eV/atom


Material: Tl2OsAu
Method: DFT, PBEsol
State: optimized geometry

a = 2.9422 Å, b = 4.5691 Å, c = 12.3975 Å
α = 90.00°, β = 90.00°, γ = 90.00°
Closest atoms and distances in Å follow each position.
Space group Imm2 (No. 44)
Unique sites:
Tl: 0.0000 0.0000 0.0000 [2 per cell]  2 Os 2.88, 2 Tl 2.94, 4 Au 3.05
Tl: 0.0000 0.5000 0.2088 [2 per cell]  4 Os 2.72, 2 Tl 2.94
Os: 0.0000 0.5000 0.7001 [2 per cell]  6 Tl 2.72-2.88, 2 Au 2.77, 2 Os 2.94
Au: 0.0000 0.0000 0.3891 [2 per cell]  2 Os 2.77, 2 Au 2.94, 4 Tl 3.05

Summary:
* energy relative to the lowest polymorph listed for this composition: 0 meV per atom
* crystal system: orthorhombic
* energy: -19.0 eV/f.u.
* energy of formation from the pure elements: 0.59 eV/atom


Material: CdIn2Tc
Method: DFT, PBEsol
State: optimized geometry

a = 6.7194 Å, b = 6.7194 Å, c = 6.7194 Å
α = 90.00°, β = 90.00°, γ = 90.00°
Closest atoms and distances in Å follow each position.
Space group F-43m (No. 216)
Unique sites:
Cd: 0.0000 0.0000 0.0000 [4 per cell]  4 Tc 2.91, 4 In 2.91
In: 0.0000 0.0000 0.5000 [4 per cell]  4 In 2.91, 4 Tc 2.91
In: 0.2500 0.2500 0.2500 [4 per cell]  4 Cd 2.91, 4 In 2.91
Tc: 0.2500 0.2500 0.7500 [4 per cell]  4 Cd 2.91, 4 In 2.91

Summary:
* crystal system: cubic
* energy: -16.2 eV/f.u.
* energy of formation from the pure elements: 0.56 eV/atom


Material: Ag2HgPt
Method: DFT, PBEsol
State: optimized geometry

a = 4.1012 Å, b = 4.1012 Å, c = 8.0090 Å
α = 90.00°, β = 90.00°, γ = 90.00°
Closest atoms and distances in Å follow each position.
Space group I-4m2 (No. 119)
Unique sites:
Ag: 0.0000 0.0000 0.0000 [2 per cell]  4 Hg 2.87, 4 Ag 2.87, 4 Pt 2.90
Ag: 0.0000 0.5000 0.2500 [2 per cell]  4 Pt 2.87, 4 Ag 2.87, 4 Hg 2.90
Hg: 0.0000 0.5000 0.7500 [2 per cell]  4 Pt 2.87, 8 Ag 2.87-2.90
Pt: 0.0000 0.0000 0.5000 [2 per cell]  4 Hg 2.87, 8 Ag 2.87-2.90

Summary:
* crystal system: tetragonal
* energy: -14.2 eV/f.u.
* energy of formation from the pure elements: -0.02 eV/atom


Material: TaSbTe2H
Method: DFT, PBEsol
State: optimized geometry

a = 5.3324 Å, b = 5.3324 Å, c = 5.3521 Å
α = 90.00°, β = 90.00°, γ = 90.00°
Closest atoms and distances in Å follow each position.
Space group P4/mmm (No. 123)
Unique sites:
Ta: 0.0000 0.0000 0.0000 [1 per cell]  4 Te 2.67, 2 Sb 2.68
Sb: 0.0000 0.0000 0.5000 [1 per cell]  2 Ta 2.68
Te: 0.0000 0.5000 0.0000 [2 per cell]  2 Ta 2.67
H: 0.5000 0.5000 0.5000 [1 per cell]  4 Sb 3.77, 8 Te 3.78

Summary:
* energy relative to the lowest polymorph listed for this composition: 79 meV per atom
* crystal system: tetragonal
* energy: -23.9 eV/f.u.


Material: ZnInAs2
Method: DFT, PBEsol
State: optimized geometry

a = 3.8792 Å, b = 5.2407 Å, c = 7.7882 Å
α = 90.00°, β = 90.00°, γ = 90.00°
Closest atoms and distances in Å follow each position.
Space group Immm (No. 71)
Unique sites:
Zn: 0.0000 0.0000 0.0000 [2 per cell]  4 As 2.57
In: 0.0000 0.0000 0.5000 [2 per cell]  8 As 2.94-3.11, 4 Zn 3.26
As: 0.0000 0.5000 0.2842 [4 per cell]  2 Zn 2.57

Summary:
* crystal system: orthorhombic
* energy: -14.1 eV/f.u.
* energy of formation from the pure elements: 0.18 eV/atom


Material: HfTeP2Se
Method: DFT, PBEsol
State: optimized geometry

a = 4.9792 Å, b = 4.9792 Å, c = 4.9961 Å
α = 90.00°, β = 90.00°, γ = 90.00°
Closest atoms and distances in Å follow each position.
Space group P4/mmm (No. 123)
Unique sites:
Hf: 0.0000 0.0000 0.0000 [1 per cell]  4 P 2.49, 2 Se 2.50
Te: 0.5000 0.5000 0.5000 [1 per cell]  4 Se 3.52, 8 P 3.53
P: 0.0000 0.5000 0.0000 [2 per cell]  2 Hf 2.49
Se: 0.0000 0.0000 0.5000 [1 per cell]  2 Hf 2.50

Summary:
* energy relative to the elements, uncorrected: 0.26 eV/atom
* crystal system: tetragonal
* energy: -28.2 eV/f.u.


Material: NaPH3C2N3O4
Method: DFT, PBEsol
State: optimized geometry

a = 6.7610 Å, b = 12.4660 Å, c = 8.2625 Å
α = 90.00°, β = 125.45°, γ = 90.00°
Closest atoms and distances in Å follow each position.
Space group P2_1/c (No. 14)
Unique sites:
Na: 0.1548 0.0512 0.4056 [4 per cell]  6 O 2.34-2.57, 1 H 2.55
P: 0.3093 0.5813 0.6032 [4 per cell]  2 O 1.51
H: 0.0078 0.6975 0.5737 [4 per cell]  1 N 1.05
H: 0.3277 0.0729 0.8810 [4 per cell]  1 N 1.06
H: 0.4270 0.6226 0.9750 [4 per cell]  1 N 1.05
C: 0.2148 0.7032 0.0368 [4 per cell]  1 O 1.25, 2 N 1.36-1.37
C: 0.4154 0.2297 0.9255 [4 per cell]  1 O 1.25, 2 N 1.35-1.37
N: 0.1615 0.6980 0.5722 [4 per cell]  1 H 1.05
N: 0.4160 0.6940 0.0356 [4 per cell]  1 H 1.05
N: 0.4487 0.1290 0.8858 [4 per cell]  1 H 1.06
O: 0.0921 0.6213 0.0068 [4 per cell]  1 C 1.25
O: 0.1652 0.5103 0.4229 [4 per cell]  1 P 1.51, 1 H 1.69
O: 0.2401 0.2428 0.4293 [4 per cell]  1 C 1.25
O: 0.3968 0.5330 0.8018 [4 per cell]  1 P 1.51

Summary:
* crystal system: monoclinic
* energy: -98.1 eV/f.u.


Material: Sr2CrFeC
Method: DFT, PBEsol
State: optimized geometry

a = 5.7916 Å, b = 5.7916 Å, c = 3.7332 Å
α = 90.00°, β = 90.00°, γ = 90.00°
Closest atoms and distances in Å follow each position.
Space group P4/mmm (No. 123)
Unique sites:
Sr: 0.0000 0.5000 0.0000 [2 per cell]  2 Cr 2.90
Cr: 0.0000 0.0000 0.0000 [1 per cell]  2 C 1.87
Fe: 0.5000 0.5000 0.5000 [1 per cell]  8 Sr 3.45, 2 Fe 3.73
C: 0.0000 0.0000 0.5000 [1 per cell]  2 Cr 1.87

Summary:
* crystal system: tetragonal
* energy: -26.4 eV/f.u.
* energy of formation from the pure elements: 1.22 eV/atom


- Which of these has the highest energy?
  KLiBe2